Here is crystalline Sc6As3P2S at its relaxed geometry from Alexandria. Energies are from PBE.

```
Sc6As3P2S
1.0
3.805 0.000 0.000
0.000 7.621 0.273
-1.903 -2.196 7.996
Sc As P S
6 3 2 1
Cartesian
0.000 5.473 5.583
1.903 3.664 2.857
1.903 -0.048 2.686
0.000 1.898 0.105
1.903 3.527 8.164
0.000 1.761 5.412
1.903 3.810 0.136
1.903 -0.202 5.393
0.000 5.627 2.876
1.903 3.624 5.521
0.000 1.801 2.748
1.903 0.000 0.000
```

Values from the calculation:
**Density**: 4.2 g/cm³
**ΔE_f (raw)**: -1.523 eV per atom


Here is crystalline Sc4AsPS2 at its relaxed geometry from Alexandria. Energies are from PBE.

```
Sc4AsPS2
1.0
-1.628 -3.271 0.874
4.996 -1.438 3.923
-1.238 2.221 6.002
Sc As P S
4 1 1 2
Cartesian
2.820 0.575 7.402
-0.691 -3.062 3.397
2.583 -2.131 4.907
-0.453 -0.357 5.893
1.684 -2.354 2.399
1.879 0.391 4.963
-1.238 2.221 6.002
-1.433 -0.525 3.438
```

Values from the calculation:
**Density**: 3.9 g/cm³
**ΔE_f (raw)**: -1.688 eV per atom